(1)
! TaZn3I, relaxed, DFT PBE; values from VASP
! Total magnetic moment ... 2.966 μB/f.u.
! Formation energy (no corrections) ... 1.7601 eV per atom
! Crystal system ... cubic
! ΔE to the lowest computed polymorph ... 369.5 kJ/mol of formula units
! Calculated volume ... 27.6 Å³/atom
! Total energy ... -8.4 eV per cell
! Space group ... Pm-3m
! Mass density ... 6.059 g cm⁻³
&SYSTEM
  ibrav = 0, nat = 5, ntyp = 3
/
ATOMIC_SPECIES
Ta 180.95 Ta.upf
Zn 65.41 Zn.upf
I 126.90 I.upf
CELL_PARAMETERS angstrom
5.1694 0.0000 0.0000
0.0000 5.1694 0.0000
0.0000 0.0000 5.1694
ATOMIC_POSITIONS angstrom
Ta 2.5847 2.5847 2.5847
Zn 2.5847 0.0000 0.0000
Zn 0.0000 0.0000 2.5847
Zn 0.0000 2.5847 0.0000
I 0.0000 0.0000 0.0000


(2)
! TaZn3I, relaxed, DFT PBE; values from VASP
! Total magnetic moment ... 0.755 μB/f.u.
! Formation energy (no corrections) ... 0.9941 eV per atom
! Crystal system ... cubic
! ΔE to the lowest computed polymorph ... 0.0 kJ/mol of formula units
! Calculated volume ... 29.0 Å³/atom
! Total energy ... -12.3 eV per cell
! Space group ... Pm-3m
! Mass density ... 5.773 g cm⁻³
&SYSTEM
  ibrav = 0, nat = 5, ntyp = 3
/
ATOMIC_SPECIES
I 126.90 I.upf
Zn 65.41 Zn.upf
Ta 180.95 Ta.upf
CELL_PARAMETERS angstrom
-3.2391 0.5166 4.1038
-0.5608 -5.2191 0.2143
4.0980 -0.3059 3.2730
ATOMIC_POSITIONS angstrom
I 0.1491 -2.5042 3.7956
Zn 2.0490 -0.1530 1.6365
Zn -1.6195 0.2583 2.0519
Zn -0.2804 -2.6096 0.1072
Ta 0.0000 0.0000 0.0000


(3)
! Ta2ZnI, relaxed, DFT PBE; values from VASP
! Total magnetic moment ... 0.000 μB/f.u.
! Formation energy (no corrections) ... 0.7711 eV per atom
! Crystal system ... tetragonal
! ΔE to the lowest computed polymorph ... 0.0 kJ/mol of formula units
! Calculated volume ... 20.8 Å³/atom
! Total energy ... -46.9 eV per cell
! Space group ... I-42d
! Mass density ... 11.074 g cm⁻³
&SYSTEM
  ibrav = 0, nat = 8, ntyp = 3
/
ATOMIC_SPECIES
I 126.90 I.upf
Ta 180.95 Ta.upf
Zn 65.41 Zn.upf
CELL_PARAMETERS angstrom
4.0907 0.0000 0.0000
0.0000 4.0907 0.0000
2.0454 2.0454 9.9320
ATOMIC_POSITIONS angstrom
I 0.0000 0.0000 0.0000
I 4.0907 2.0454 4.9660
Ta 3.0680 3.1423 7.4490
Ta 1.0969 3.0680 2.4830
Ta 2.9938 1.0227 2.4830
Ta 5.1134 5.0392 7.4490
Zn 2.0454 2.0454 0.0000
Zn 2.0454 4.0907 4.9660


(4)
! ZrTaZn2I, relaxed, DFT PBE; values from VASP
! Total magnetic moment ... 0.634 μB/f.u.
! Formation energy (no corrections) ... 1.6765 eV per atom
! Crystal system ... tetragonal
! Calculated volume ... 26.0 Å³/atom
! Total energy ... -16.1 eV per cell
! Space group ... P4/mmm
! Mass density ... 6.763 g cm⁻³
&SYSTEM
  ibrav = 0, nat = 5, ntyp = 4
/
ATOMIC_SPECIES
Zn 65.41 Zn.upf
I 126.90 I.upf
Zr 91.22 Zr.upf
Ta 180.95 Ta.upf
CELL_PARAMETERS angstrom
4.9625 0.0000 0.0000
0.0000 5.2829 0.0000
0.0000 0.0000 4.9625
ATOMIC_POSITIONS angstrom
Zn 2.4813 0.0000 0.0000
Zn 0.0000 0.0000 2.4813
I 0.0000 0.0000 0.0000
Zr 0.0000 2.6414 0.0000
Ta 2.4813 2.6414 2.4813


(5)
! ZrTaI3, relaxed, DFT PBE; values from VASP
! Total magnetic moment ... 4.929 μB/f.u.
! Formation energy (no corrections) ... 0.9129 eV per atom
! Crystal system ... cubic
! ΔE to the lowest computed polymorph ... 0.0 kJ/mol of formula units
! Calculated volume ... 34.1 Å³/atom
! Total energy ... -20.5 eV per cell
! Space group ... Pm-3m
! Mass density ... 6.364 g cm⁻³
&SYSTEM
  ibrav = 0, nat = 5, ntyp = 3
/
ATOMIC_SPECIES
Ta 180.95 Ta.upf
I 126.90 I.upf
Zr 91.22 Zr.upf
CELL_PARAMETERS angstrom
5.5435 0.0000 0.0000
0.0000 5.5435 0.0000
0.0000 0.0000 5.5435
ATOMIC_POSITIONS angstrom
Ta 0.0000 0.0000 0.0000
I 2.7718 0.0000 0.0000
I 0.0000 0.0000 2.7718
I 0.0000 2.7718 0.0000
Zr 2.7718 2.7718 2.7718


(6)
! Zr3TaI, relaxed, DFT PBE; values from VASP
! Total magnetic moment ... 1.040 μB/f.u.
! Formation energy (no corrections) ... 0.9109 eV per atom
! Crystal system ... cubic
! ΔE to the lowest computed polymorph ... 0.0 kJ/mol of formula units
! Calculated volume ... 28.6 Å³/atom
! Total energy ... -34.5 eV per cell
! Space group ... Pm-3m
! Mass density ... 6.761 g cm⁻³
&SYSTEM
  ibrav = 0, nat = 5, ntyp = 3
/
ATOMIC_SPECIES
I 126.90 I.upf
Ta 180.95 Ta.upf
Zr 91.22 Zr.upf
CELL_PARAMETERS angstrom
-1.2936 -1.8101 -4.7300
3.4196 -3.9132 0.5624
-3.7358 -2.9552 2.1526
ATOMIC_POSITIONS angstrom
I -0.8049 -4.3392 -1.0075
Ta 0.0000 0.0000 0.0000
Zr -1.8679 -1.4776 1.0763
Zr -0.6468 -0.9051 -2.3650
Zr 1.7098 -1.9566 0.2812


Among the records above, which one has the lowest total energy? Ta2ZnI


Look up the formation energy (no corrections) of the second one. 0.9941 eV per atom


Among the records above, which one has the highest total energy? number 1